The following is a PBE calculation of crystalline SrLa2W at its relaxed geometry, from Alexandria.

Values from the calculation:
Density of states at the Fermi level ... 3.53 states/eV per cell
Total magnetic moment ... 0.000 μB per atom
Symmetry ... No. 71
Formation energy ... 0.5942 eV per atom

a b c (Å): 6.9455 6.9455 6.9455
angles (deg): 150.39 126.13 62.68
With the nearest neighbours (Å) after each atom.
Fractional coordinates of all 4 atoms:
La 0.9408 0.9408 0.0000  2 W 2.88
La 0.5592 0.5592 0.0000  2 W 2.88
Sr 0.2500 0.7500 0.5000  2 Sr 3.55, 4 W 3.61, 4 La 3.88
W 0.7500 0.2500 0.5000  4 La 2.88